A relaxed structure of KCr2Co. Source: Alexandria, functional GGA-PBE.

```
data_KCr2Co
_space_group_name_H-M_alt 'I 41/a m d'
_space_group_IT_number 141
_cell_length_a 5.885
_cell_length_b 5.885
_cell_length_c 13.787
_cell_angle_alpha 90.00
_cell_angle_beta 90.00
_cell_angle_gamma 90.00
loop_
_space_group_symop_operation_xyz
'x,y,z'
'-x,-y,-z'
'-y+1/4,x+3/4,z+1/4'
'y+1/4,-x+3/4,-z+1/4'
'-x+1/2,-y,z+1/2'
'x+1/2,y,-z+1/2'
'y+1/4,-x+1/4,z+3/4'
'-y+1/4,x+1/4,-z+3/4'
'x,-y,-z'
'-x,y,z'
'-y+1/4,-x+1/4,-z+3/4'
'y+1/4,x+1/4,z+3/4'
'-x+1/2,y,-z+1/2'
'x+1/2,-y,z+1/2'
'y+1/4,x+3/4,-z+1/4'
'-y+1/4,-x+3/4,z+1/4'
'x+1/2,y+1/2,z+1/2'
'-x+1/2,-y+1/2,-z+1/2'
'-y+3/4,x+1/4,z+3/4'
'y+3/4,-x+1/4,-z+3/4'
'-x,-y+1/2,z'
'x,y+1/2,-z'
'y+3/4,-x+3/4,z+1/4'
'-y+3/4,x+3/4,-z+1/4'
'x+1/2,-y+1/2,-z+1/2'
'-x+1/2,y+1/2,z+1/2'
'-y+3/4,-x+3/4,-z+1/4'
'y+3/4,x+3/4,z+1/4'
'-x,y+1/2,-z'
'x,-y+1/2,z'
'y+3/4,x+1/4,-z+3/4'
'-y+3/4,-x+1/4,z+3/4'
loop_
_atom_site_label
_atom_site_type_symbol
_atom_site_fract_x
_atom_site_fract_y
_atom_site_fract_z
K1 K 0.000 0.250 0.375
Cr1 Cr 0.000 0.000 0.000
Co1 Co 0.000 0.250 0.875
```

## Properties
The total energy comes out at -5.55 eV/atom. For the volume, the calculation gives 477 Å³ per cell. The magnetization is 1.923 μB/atom. The energy above the lowest structure with this stoichiometry comes out at 553.5 meV/atom.